Entry 1:
V3SiP5O19, optimized geometry, DFT PBE+U; size of the total moment = 24.0 μB/cell; E = -7.57 eV/atom
1.0
-2.1385 -13.0299 -6.2006
11.2002 8.3375 -4.2237
4.4729 -3.2889 5.3687
Si O P V
4 76 20 12
direct
0.6667 0.3333 0.8023
0.6667 0.3333 0.2158
0.3333 0.6667 0.7158
0.3333 0.6667 0.3023
0.0000 0.0000 0.5004
0.4242 0.2677 0.9211
0.9270 0.0437 0.2433
0.9690 0.2107 0.4079
0.6147 0.5430 0.0906
0.7807 0.3584 0.2913
0.1167 0.0730 0.2433
0.2417 0.0310 0.4079
0.8435 0.5758 0.9211
0.6944 0.4491 0.7286
0.2452 0.6944 0.2286
0.3638 0.0987 0.7481
0.2651 0.3638 0.2481
0.6667 0.3333 0.0090
0.5758 0.7323 0.4211
0.2107 0.2417 0.9079
0.7349 0.6362 0.7481
0.9029 0.6964 0.2483
0.0602 0.4588 0.7576
0.9398 0.5412 0.2576
0.4491 0.7548 0.2286
0.9563 0.8833 0.2433
0.7956 0.7566 0.0749
0.5509 0.2452 0.7286
0.4570 0.0716 0.0906
0.3056 0.5509 0.2286
0.5412 0.6015 0.7576
0.6416 0.4224 0.2913
0.0389 0.7956 0.5749
0.6362 0.9013 0.2481
0.7936 0.0971 0.2483
0.7321 0.1432 0.5874
0.2044 0.2434 0.5749
0.6964 0.7936 0.7483
0.1565 0.4242 0.4211
0.9013 0.2651 0.7481
0.3978 0.4496 0.9239
0.3036 0.2064 0.2483
0.3333 0.6667 0.5090
0.6022 0.5504 0.4239
0.9611 0.2044 0.0749
0.7893 0.7583 0.4079
0.3853 0.4570 0.5906
0.2064 0.9029 0.7483
0.7583 0.9690 0.9079
0.5776 0.2193 0.2913
0.0000 0.0000 0.0004
0.4224 0.7807 0.7913
0.7566 0.9611 0.5749
0.2193 0.6416 0.7913
0.0437 0.1167 0.7433
0.0310 0.7893 0.9079
0.9284 0.3853 0.0906
0.8833 0.9270 0.7433
0.5504 0.9481 0.9239
0.0716 0.6147 0.5906
0.1432 0.4111 0.0874
0.3985 0.9398 0.7576
0.4111 0.2679 0.5874
0.7548 0.3056 0.7286
0.0519 0.6022 0.9239
0.8568 0.5889 0.5874
0.2434 0.0389 0.0749
0.0987 0.7349 0.2481
0.2679 0.8568 0.0874
0.0730 0.9563 0.7433
0.5889 0.7321 0.0874
0.0971 0.3036 0.7483
0.4496 0.0519 0.4239
0.2677 0.8435 0.4211
0.3584 0.5776 0.7913
0.5430 0.9284 0.5906
0.4588 0.3985 0.2576
0.7323 0.1565 0.9211
0.9481 0.3978 0.4239
0.6015 0.0602 0.2576
0.9049 0.4211 0.2605
0.2105 0.4324 0.2484
0.8524 0.7690 0.2464
0.2219 0.7895 0.2484
0.0000 0.0000 0.3137
0.7895 0.5676 0.7484
0.4211 0.5161 0.7605
0.5161 0.0951 0.2605
0.7690 0.9166 0.7464
0.2310 0.0834 0.2464
0.5789 0.4839 0.2605
0.0951 0.5789 0.7605
0.4324 0.2219 0.7484
0.9166 0.1475 0.2464
0.5676 0.7781 0.2484
0.0834 0.8524 0.7464
0.0000 0.0000 0.8137
0.7781 0.2105 0.7484
0.1475 0.2310 0.7464
0.4839 0.9049 0.7605
0.3387 0.3241 0.4467
0.3241 0.9854 0.9467
0.6759 0.0146 0.4467
0.0223 0.3423 0.5557
0.6613 0.6759 0.9467
0.3423 0.3200 0.0557
0.9854 0.6613 0.4467
0.9777 0.6577 0.0557
0.6800 0.0223 0.0557
0.3200 0.9777 0.5557
0.0146 0.3387 0.9467
0.6577 0.6800 0.5557

Entry 2:
SiPWO2, optimized geometry, DFT PBE+U; size of the total moment = 2.9 μB/cell; relative energy among the computed polymorphs = 0 meV per atom
1.0
-1.6934 -1.3133 2.7226
3.0186 -0.8982 1.4442
0.2663 5.1746 2.6616
O W P Si
2 1 1 1
direct
0.5000 0.0000 0.0000
0.0000 0.5000 0.0000
0.5000 0.5000 0.5000
0.0000 0.0000 0.5000
0.0000 0.0000 0.0000